[1]
VASP calculation (GGA-PBE) on a relaxed Ac12Ru5Se3 crystal.

Unit cell a=17.9716 b=17.9716 c=17.9716 alpha=90.00 beta=90.00 gamma=90.00
With the nearest neighbours (Å) after each atom.
Space group Ia-3d (No. 230)
Asymmetric unit:
Ac: 0.0281 0.0557 0.6501 [96 per cell]  2 Ru 2.69-2.92
Ru: 0.0000 0.0000 0.0000 [16 per cell]  6 Ac 2.92
Ru: 0.0000 0.2500 0.3750 [24 per cell]  4 Ac 2.69
Se: 0.0000 0.2500 0.1250 [24 per cell]  8 Ac 3.43-3.56

Computed properties:
The value obtained for the raw formation energy is -0.398 eV per atom.


[2]
VASP calculation (GGA-PBE) on a relaxed Ac4TeRuSe2 crystal.

Unit cell a=6.4326 b=6.4326 c=12.9638 alpha=90.00 beta=90.00 gamma=90.00
With the nearest neighbours (Å) after each atom.
Space group I-4m2 (No. 119)
Asymmetric unit:
Ac: 0.0000 0.0000 0.2182 [4 per cell]  1 Ru 2.83
Ac: 0.0000 0.5000 0.5073 [4 per cell]  3 Se 3.15-3.22, 2 Ru 3.22, 1 Te 3.34
Te: 0.0000 0.5000 0.2500 [2 per cell]  6 Ac 3.24-3.34
Ru: 0.0000 0.0000 0.0000 [2 per cell]  2 Ac 2.83
Se: 0.0000 0.0000 0.5000 [2 per cell]  4 Ac 3.22
Se: 0.0000 0.5000 0.7500 [2 per cell]  6 Ac 3.15-3.24

Computed properties:
The value obtained for the raw formation energy is -1.256 eV per atom.


[3]
VASP calculation (GGA-PBE) on a relaxed Ac6Te3RuSe2 crystal.

Unit cell a=7.9769 b=13.7300 c=8.1155 alpha=90.00 beta=108.95 gamma=90.00
With the nearest neighbours (Å) after each atom.
Space group C2/m (No. 12)
Asymmetric unit:
Ac: 0.2277 0.1557 0.2182 [8 per cell]  1 Ru 2.99, 2 Se 3.22-3.23
Ac: 0.2360 0.0000 0.7755 [4 per cell]  1 Ru 3.02, 2 Se 3.22
Te: 0.0000 0.1757 0.5000 [4 per cell]  6 Ac 3.36-3.48
Te: 0.0000 0.5000 0.5000 [2 per cell]  6 Ac 3.36-3.53
Ru: 0.0000 0.0000 0.0000 [2 per cell]  6 Ac 2.99-3.02
Se: 0.0000 0.3352 0.0000 [4 per cell]  6 Ac 3.22-3.23

Computed properties:
The value obtained for the raw formation energy is -1.404 eV per atom.


[4]
VASP calculation (GGA-PBE) on a relaxed AcSi2Ru crystal.

Unit cell a=3.2673 b=3.2673 c=7.1358 alpha=90.00 beta=90.00 gamma=90.00
With the nearest neighbours (Å) after each atom.
Space group P4/mmm (No. 123)
Asymmetric unit:
Ac: 0.0000 0.0000 0.0000 [1 per cell]  8 Si 3.26, 4 Ac 3.27, 2 Ru 3.57
Si: 0.5000 0.5000 0.3214 [2 per cell]  1 Si 2.55, 4 Ru 2.64
Ru: 0.0000 0.0000 0.5000 [1 per cell]  8 Si 2.64

Computed properties:
The value obtained for the raw formation energy is -0.202 eV per atom. The value obtained for the polymorph energy (0 for the lowest one) is 0.467 eV per atom.


[5]
VASP calculation (GGA-PBE) on a relaxed AcSi4Ru4 crystal.

Unit cell a=8.1436 b=8.1436 c=4.6562 alpha=90.00 beta=90.00 gamma=90.00
With the nearest neighbours (Å) after each atom.
Space group P4_2/n (No. 86, origin choice 2)
Asymmetric unit:
Ac: 0.2500 0.2500 0.2500 [2 per cell]  4 Ru 3.23, 8 Si 3.30-3.37
Si: 0.0538 0.8988 0.1684 [8 per cell]  4 Ru 2.33-2.42, 1 Si 2.44
Ru: 0.1167 0.6200 0.1630 [8 per cell]  4 Si 2.33-2.42

Computed properties:
The value obtained for the raw formation energy is -0.642 eV per atom.


[6]
VASP calculation (GGA-PBE) on a relaxed AcSi2Ru2 crystal.

Unit cell a=4.2806 b=4.2806 c=10.3522 alpha=90.00 beta=90.00 gamma=90.00
With the nearest neighbours (Å) after each atom.
Space group I4/mmm (No. 139)
Asymmetric unit:
Ac: 0.0000 0.0000 0.0000 [2 per cell]  8 Ru 3.36, 10 Si 3.38-3.67
Si: 0.0000 0.0000 0.3545 [4 per cell]  4 Ru 2.40
Ru: 0.0000 0.5000 0.2500 [4 per cell]  4 Si 2.40

Computed properties:
The value obtained for the raw formation energy is -0.838 eV per atom.


Question: Which of these has the highest raw formation energy?
Answer: AcSi2Ru


Question: Look up the raw formation energy of the third one.
Answer: -1.404 eV per atom


Question: Number 6 is which compound?
Answer: AcSi2Ru2


Question: What is the raw formation energy in the first record?
Answer: -0.398 eV per atom